This record from the Alexandria database describes a geometry-optimized Nd4PN7 structure. The functional is PBE.

Lattice parameters (Å, degrees): 3.7625 7.4756 8.2868 70.97 78.09 80.13
Space group P1 (No. 1)
Unique sites:
Nd1 0.0000 0.0000 0.0000 x1
Nd2 0.0745 0.6026 0.4358 x1
Nd3 0.2007 0.1520 0.3683 x1
Nd4 0.7201 0.5181 0.0148 x1
P1 0.6267 0.2798 0.6936 x1
N1 0.1293 0.6465 0.1246 x1
N2 0.4737 0.8076 0.4570 x1
N3 0.5528 0.0713 0.8161 x1
N4 0.5955 0.3397 0.4925 x1
N5 0.6859 0.8896 0.4958 x1
N6 0.7743 0.1993 0.1726 x1
N7 0.8212 0.4145 0.7527 x1

## Properties
Calculated volume ... 17.9 A^3/atom
Formation energy from raw total energies ... -83 kJ/mol of atoms